[1]
# Li3NpU2Se6 PBE optimized geometry
data_Li3NpU2Se6
_cell_length_a 6.9849
_cell_length_b 12.1012
_cell_length_c 6.9966
_cell_angle_alpha 90.00
_cell_angle_beta 109.45
_cell_angle_gamma 90.00
_space_group_name_H-M_alt 'C 1 2/m 1'
_space_group_IT_number 12
loop_
_space_group_symop_operation_xyz
'x,y,z'
'-x,-y,-z'
'-x,y,-z'
'x,-y,z'
'x+1/2,y+1/2,z'
'-x+1/2,-y+1/2,-z'
'-x+1/2,y+1/2,-z'
'x+1/2,-y+1/2,z'
loop_
_atom_site_label
_atom_site_fract_x
_atom_site_fract_y
_atom_site_fract_z
_atom_site_occupancy
Li1 0.0000 0.0000 0.0000 1
Li2 0.0000 0.3333 0.0000 1
Np1 0.0000 0.5000 0.5000 1
U1 0.0000 0.1665 0.5000 1
Se1 0.2457 0.1679 0.2403 1
Se2 0.2486 0.5000 0.2392 1
# formation energy (no corrections)	-1.191	eV per atom

=====

[2]
# DyHo2Tl3 PBE optimized geometry
data_DyHo2Tl3
_cell_length_a 3.6509
_cell_length_b 3.6509
_cell_length_c 12.2445
_cell_angle_alpha 90.00
_cell_angle_beta 90.00
_cell_angle_gamma 90.00
_space_group_name_H-M_alt 'P 4/m m m'
_space_group_IT_number 123
_space_group_name_Hall '-P 4 2'
loop_
_atom_site_label
_atom_site_fract_x
_atom_site_fract_y
_atom_site_fract_z
_atom_site_occupancy
Dy1 0.0000 0.0000 0.0000 1
Ho1 0.0000 0.0000 0.3337 1
Tl1 0.5000 0.5000 0.1675 1
Tl2 0.5000 0.5000 0.5000 1
# energy of formation from the pure elements	-2.019	eV/f.u.

=====

[3]
# LaYAgSn PBE optimized geometry
data_LaYAgSn
_cell_length_a 7.6152
_cell_length_b 7.6152
_cell_length_c 7.6152
_cell_angle_alpha 90.00
_cell_angle_beta 90.00
_cell_angle_gamma 90.00
_space_group_name_H-M_alt 'F -4 3 m'
_space_group_IT_number 216
_space_group_name_Hall 'F -4 2 3'
loop_
_atom_site_label
_atom_site_fract_x
_atom_site_fract_y
_atom_site_fract_z
_atom_site_occupancy
La1 0.0000 0.0000 0.0000 1
Y1 0.0000 0.0000 0.5000 1
Ag1 0.2500 0.2500 0.2500 1
Sn1 0.2500 0.2500 0.7500 1
# energy of formation from the pure elements	-2.135	eV/f.u.

=====

[4]
# TbPmDy5Ho2 PBE optimized geometry
data_TbPmDy5Ho2
_cell_length_a 5.5996
_cell_length_b 19.8099
_cell_length_c 10.5488
_cell_angle_alpha 90.00
_cell_angle_beta 90.00
_cell_angle_gamma 90.00
_space_group_name_H-M_alt 'C m c 21'
_space_group_IT_number 36
loop_
_space_group_symop_operation_xyz
'x,y,z'
'-x,-y,z+1/2'
'-x,y,z'
'x,-y,z+1/2'
'x+1/2,y+1/2,z'
'-x+1/2,-y+1/2,z+1/2'
'-x+1/2,y+1/2,z'
'x+1/2,-y+1/2,z+1/2'
loop_
_atom_site_label
_atom_site_fract_x
_atom_site_fract_y
_atom_site_fract_z
_atom_site_occupancy
Tb1 0.0000 0.1999 0.0000 1
Pm1 0.0000 0.4157 0.4405 1
Dy1 0.0000 0.0178 0.0128 1
Dy2 0.0000 0.2814 0.2997 1
Dy3 0.0000 0.2987 0.6967 1
Dy4 0.0000 0.3887 0.0112 1
Dy5 0.0000 0.4785 0.7255 1
Ho1 0.0000 0.1107 0.7237 1
Ho2 0.0000 0.1138 0.3073 1
# energy of formation from the pure elements	1.418	eV/f.u.

=====

[5]
# AlTlCo2 PBE optimized geometry
data_AlTlCo2
_cell_length_a 3.0908
_cell_length_b 4.2448
_cell_length_c 8.9876
_cell_angle_alpha 90.00
_cell_angle_beta 90.00
_cell_angle_gamma 90.00
_space_group_name_H-M_alt 'I m m 2'
_space_group_IT_number 44
loop_
_space_group_symop_operation_xyz
'x,y,z'
'-x,-y,z'
'-x,y,z'
'x,-y,z'
'x+1/2,y+1/2,z+1/2'
'-x+1/2,-y+1/2,z+1/2'
'-x+1/2,y+1/2,z+1/2'
'x+1/2,-y+1/2,z+1/2'
loop_
_atom_site_label
_atom_site_fract_x
_atom_site_fract_y
_atom_site_fract_z
_atom_site_occupancy
Al1 0.0000 0.0000 0.0000 1
Tl1 0.0000 0.5000 0.2237 1
Co1 0.0000 0.0000 0.4587 1
Co2 0.0000 0.5000 0.7287 1
# excess energy over the best structure of this formula in the dataset	185.5	meV per atom
# energy of formation from the pure elements	1.048	eV/f.u.

=====

[6]
# AsH3Ru PBE optimized geometry
data_AsH3Ru
_cell_length_a 3.5868
_cell_length_b 3.5868
_cell_length_c 3.5868
_cell_angle_alpha 90.00
_cell_angle_beta 90.00
_cell_angle_gamma 90.00
_space_group_name_H-M_alt 'P m -3 m'
_space_group_IT_number 221
_space_group_name_Hall '-P 4 2 3'
loop_
_atom_site_label
_atom_site_fract_x
_atom_site_fract_y
_atom_site_fract_z
_atom_site_occupancy
As1 0.0000 0.0000 0.0000 1
H1 0.0000 0.0000 0.5000 1
Ru1 0.5000 0.5000 0.5000 1
# excess energy over the best structure of this formula in the dataset	720.9	meV per atom